Here is a relaxed structure of Rb2LiThSe4 from Alexandria. Energies are from PBE-GGA.

Output
E (eV for the cell shown): -70.9
Magnetization (μB/f.u.): 1.02

Structure (extended XYZ):
```
16
Lattice="-4.250 4.660 6.685 4.250 -4.660 6.685 4.250 4.660 -6.685" Properties=species:S:1:pos:R:3 pbc="T T T"
Rb 0.000 0.000 0.000
Rb -2.125 2.330 3.343
Rb 0.000 4.660 0.000
Rb 2.125 2.330 3.343
Li 4.250 0.000 0.000
Li 0.000 0.000 6.685
Th 2.125 2.330 -3.343
Th 2.125 -2.330 3.343
Se 4.250 4.307 -3.427
Se 4.250 -0.353 3.427
Se 2.712 2.330 -0.379
Se 5.789 2.330 -0.379
Se -1.538 2.330 7.065
Se 1.538 2.330 7.065
Se 0.000 5.013 3.258
Se 0.000 0.353 10.112
```



Here is a relaxed structure of RbLi2Th2Se6 from Alexandria. Energies are from PBE-GGA.

Output
E (eV for the cell shown): -55.6
Magnetization (μB/f.u.): 0.00

Structure (extended XYZ):
```
11
Lattice="7.043 0.000 0.000 -0.254 7.663 0.000 -1.495 -3.856 6.551" Properties=species:S:1:pos:R:3 pbc="T T T"
Rb 0.000 0.000 0.000
Li 2.621 4.078 2.837
Li 2.672 -0.272 3.714
Th -0.981 -0.042 4.419
Th 6.275 3.849 2.132
Se 1.452 4.637 0.471
Se 0.935 1.656 3.042
Se 0.898 -2.242 4.186
Se 4.396 6.048 2.365
Se 4.359 2.151 3.509
Se 3.842 -0.831 6.080
```



Here is a relaxed structure of Rb4LiTh3Se8 from Alexandria. Energies are from PBE-GGA.

Output
E (eV for the cell shown): -80.4
Magnetization (μB/f.u.): 0.01

Structure (extended XYZ):
```
16
Lattice="4.343 2.508 7.988 -4.343 2.508 7.988 0.000 -5.015 7.988" Properties=species:S:1:pos:R:3 pbc="T T T"
Rb 0.000 0.000 0.000
Rb -2.172 -1.254 7.988
Rb -2.172 1.254 15.976
Rb 0.000 2.508 7.988
Li 0.000 0.000 11.982
Th -4.343 0.000 11.982
Th -2.172 1.254 3.994
Th 2.172 1.254 3.994
Se -2.220 -1.282 13.555
Se 0.000 0.000 5.620
Se 0.000 -2.563 10.410
Se -2.220 1.282 10.410
Se 2.220 -1.282 13.555
Se 0.000 2.564 13.555
Se 0.000 0.000 18.344
Se 2.220 1.282 10.410
```